! Ti12In6N | Alexandria via LeMat-Bulk | PBE-GGA | relaxed; values from VASP
! SG	R-3 (148)
! E_form (uncorrected)	-1.179	eV/f.u.
! crystal system	trigonal
! density of states at the Fermi level	1.045	states/eV/atom
&SYSTEM
  ibrav = 0, nat = 19, ntyp = 3
/
ATOMIC_SPECIES
Ti 47.87 Ti.upf
In 114.82 In.upf
N 14.01 N.upf
CELL_PARAMETERS angstrom
-1.180 -6.937 -1.636
7.012 -0.447 1.678
-2.728 0.029 6.689
ATOMIC_POSITIONS angstrom
Ti 1.852 -5.649 3.053
Ti 3.263 -3.792 4.431
Ti 0.680 -4.288 5.081
Ti 1.252 -1.705 3.678
Ti -0.159 -3.562 2.300
Ti 2.424 -3.067 1.650
Ti -0.187 -0.031 2.051
Ti 1.203 -6.641 6.389
Ti 3.670 -5.377 6.632
Ti 3.290 -7.324 4.680
Ti 1.901 -0.713 0.342
Ti -0.566 -1.978 0.098
In 4.606 -4.801 2.096
In 1.284 -5.340 0.305
In 4.088 -1.276 3.452
In -1.502 -2.553 4.635
In 1.819 -2.014 6.426
In -0.984 -6.078 3.278
N 0.000 0.000 0.000